Density functional theory data (PBE) for a relaxed BeTcP2S crystal.

abc: 4.061 4.061 4.505
angles: 90.00 90.00 90.00
Each line ends with the local moment (μB).
Sites, in units of the cell vectors:
Be1 0.000 0.000 0.000  0.01
Tc1 0.500 0.500 0.500  1.88
S1 0.000 0.000 0.500  -0.06
P1 0.000 0.500 0.000  -0.07
P2 0.500 0.000 0.000  -0.07

Results
- energy (eV/atom) = -4.964
- total moment (μB per atom) = 0.37
- energy above the most stable polymorph in this dataset (eV per atom) = 0.000